Entry 1:
Ac4NdAg: relaxed, PBE.

abc: 3.9483 3.9483 14.8875
angles: 90.00 90.00 90.00
Last column: nearest neighbours and their distance in Å.
Space group P4/mmm (No. 123)
Unique sites:
Ac: 0.0000 0.0000 0.1338 (multiplicity 2)  4 Ag 3.43
Ac: 0.5000 0.5000 0.3267 (multiplicity 2)  4 Nd 3.80, 8 Ac 3.95-4.01
Nd: 0.0000 0.0000 0.5000 (multiplicity 1)  8 Ac 3.80, 4 Nd 3.95
Ag: 0.5000 0.5000 0.0000 (multiplicity 1)  8 Ac 3.43

Calculated values
VASP energy ... -24.45 eV for the cell shown
Spin magnetization ... 0.00 μB per cell
ΔE_f ... -6 kJ/mol of atoms
Crystal system ... tetragonal

Entry 2:
Ac2Nd2Ag: relaxed, PBE.

abc: 3.8738 3.8738 23.8826
angles: 90.00 90.00 90.00
Last column: nearest neighbours and their distance in Å.
Space group I4/mmm (No. 139)
Unique sites:
Ac: 0.0000 0.0000 0.0859 (multiplicity 4)  4 Ag 3.42
Nd: 0.0000 0.0000 0.2999 (multiplicity 4)  8 Nd 3.63-3.87, 4 Ac 3.87
Ag: 0.0000 0.0000 0.5000 (multiplicity 2)  8 Ac 3.42

Calculated values
VASP energy ... -42.00 eV for the cell shown
Spin magnetization ... 0.00 μB per cell
ΔE_f ... -8 kJ/mol of atoms
Crystal system ... tetragonal

Entry 3:
AcNd2Ag3: relaxed, PBE.

abc: 3.8231 3.8231 11.4807
angles: 90.00 90.00 90.00
Last column: nearest neighbours and their distance in Å.
Space group P4/mmm (No. 123)
Unique sites:
Ac: 0.0000 0.0000 0.0000 (multiplicity 1)  8 Ag 3.44, 4 Ac 3.82
Nd: 0.0000 0.0000 0.3386 (multiplicity 2)  8 Ag 3.23-3.28
Ag: 0.5000 0.5000 0.1848 (multiplicity 2)  4 Nd 3.23, 4 Ac 3.44
Ag: 0.5000 0.5000 0.5000 (multiplicity 1)  8 Nd 3.28, 2 Ag 3.62

Calculated values
VASP energy ... -23.72 eV for the cell shown
Spin magnetization ... 0.00 μB per cell
ΔE_f ... -25 kJ/mol of atoms
Crystal system ... tetragonal

Entry 4:
AcNd5Ag4: relaxed, PBE.

abc: 3.7582 3.7582 20.4800
angles: 90.00 90.00 90.00
Last column: nearest neighbours and their distance in Å.
Space group P4/mmm (No. 123)
Unique sites:
Ac: 0.0000 0.0000 0.0000 (multiplicity 1)  4 Ac 3.76, 8 Nd 3.79
Nd: 0.5000 0.5000 0.1318 (multiplicity 2)  4 Ag 3.26
Nd: 0.5000 0.5000 0.3152 (multiplicity 2)  8 Ag 3.24-3.26
Nd: 0.5000 0.5000 0.5000 (multiplicity 1)  8 Ag 3.27
Ag: 0.0000 0.0000 0.2244 (multiplicity 2)  8 Nd 3.24-3.26
Ag: 0.0000 0.0000 0.4072 (multiplicity 2)  8 Nd 3.26-3.27

Calculated values
VASP energy ... -41.37 eV for the cell shown
Spin magnetization ... 0.00 μB per cell
ΔE_f ... -19 kJ/mol of atoms
Crystal system ... tetragonal

Entry 5:
AcNd2Ag6: relaxed, PBE.

abc: 3.8394 8.0811 14.8792
angles: 90.00 90.00 90.00
Last column: nearest neighbours and their distance in Å.
Space group Immm (No. 71)
Unique sites:
Ac: 0.0000 0.0000 0.0000 (multiplicity 2)  12 Ag 3.25-3.58
Nd: 0.0000 0.5000 0.1399 (multiplicity 4)  10 Ag 3.11-3.24
Ag: 0.0000 0.1762 0.5000 (multiplicity 4)  3 Ag 2.85-2.86, 4 Nd 3.17
Ag: 0.0000 0.3160 0.3231 (multiplicity 8)  4 Ag 2.86-3.09, 1 Nd 3.11

Calculated values
Energy above the most stable polymorph in this dataset ... 0.063 eV per atom
VASP energy ... -65.05 eV for the cell shown
Spin magnetization ... 0.00 μB per cell
ΔE_f ... -19 kJ/mol of atoms
Crystal system ... orthorhombic

Entry 6:
Ac2NdAg: relaxed, PBE.

abc: 3.9396 3.9396 9.2625
angles: 90.00 90.00 90.00
Last column: nearest neighbours and their distance in Å.
Space group P4/mmm (No. 123)
Unique sites:
Ac: 0.0000 0.0000 0.2152 (multiplicity 2)  4 Ag 3.43
Nd: 0.5000 0.5000 0.5000 (multiplicity 1)  8 Ac 3.84, 4 Nd 3.94
Ag: 0.5000 0.5000 0.0000 (multiplicity 1)  8 Ac 3.43

Calculated values
Energy above the most stable polymorph in this dataset ... 0.000 eV per atom
VASP energy ... -16.25 eV for the cell shown
Spin magnetization ... 0.00 μB per cell
ΔE_f ... -10 kJ/mol of atoms
Crystal system ... tetragonal

Entry 7:
AcNdAg2: relaxed, PBE.

abc: 7.7335 7.7335 7.7335
angles: 90.00 90.00 90.00
Last column: nearest neighbours and their distance in Å.
Space group Fm-3m (No. 225)
Unique sites:
Ac: 0.0000 0.0000 0.0000 (multiplicity 4)  8 Ag 3.35
Nd: 0.0000 0.0000 0.5000 (multiplicity 4)  8 Ag 3.35
Ag: 0.2500 0.2500 0.2500 (multiplicity 8)  4 Ac 3.35, 4 Nd 3.35

Calculated values
Energy above the most stable polymorph in this dataset ... 0.019 eV per atom
VASP energy ... -62.09 eV for the cell shown
Spin magnetization ... 0.00 μB per cell
ΔE_f ... -23 kJ/mol of atoms
Crystal system ... cubic

Entry 8:
Ac4NdAg5: relaxed, PBE.

abc: 3.9087 3.9087 19.7515
angles: 90.00 90.00 90.00
Last column: nearest neighbours and their distance in Å.
Space group P4/mmm (No. 123)
Unique sites:
Ac: 0.0000 0.0000 0.1021 (multiplicity 2)  8 Ag 3.42
Ac: 0.0000 0.0000 0.3059 (multiplicity 2)  8 Ag 3.41-3.48
Nd: 0.0000 0.0000 0.5000 (multiplicity 1)  8 Ag 3.25
Ag: 0.5000 0.5000 0.0000 (multiplicity 1)  8 Ac 3.42
Ag: 0.5000 0.5000 0.2044 (multiplicity 2)  8 Ac 3.41-3.42
Ag: 0.5000 0.5000 0.4130 (multiplicity 2)  4 Nd 3.25, 1 Ag 3.44, 4 Ac 3.48

Calculated values
VASP energy ... -38.03 eV for the cell shown
Spin magnetization ... 0.00 μB per cell
ΔE_f ... -25 kJ/mol of atoms
Crystal system ... tetragonal

Entry 9:
Ac2Nd2Ag3: relaxed, PBE.

abc: 9.4599 5.4767 9.2157
angles: 90.00 109.76 90.00
Last column: nearest neighbours and their distance in Å.
Space group C2/m (No. 12)
Unique sites:
Ac: 0.1205 0.0000 0.3604 (multiplicity 4)  7 Ag 3.34-3.52
Nd: 0.1266 0.5000 0.8813 (multiplicity 4)  5 Ag 3.06-3.32
Ag: 0.0000 0.5000 0.5000 (multiplicity 2)  2 Nd 3.31, 6 Ac 3.38
Ag: 0.2455 0.5000 0.2339 (multiplicity 4)  4 Nd 3.06-3.32, 3 Ac 3.34

Calculated values
VASP energy ... -54.03 eV for the cell shown
Spin magnetization ... 0.02 μB per cell
ΔE_f ... -10 kJ/mol of atoms
Crystal system ... monoclinic

Entry 10:
AcNd3Ag4: relaxed, PBE.

abc: 5.4103 5.4103 7.5538
angles: 90.00 90.00 90.00
Last column: nearest neighbours and their distance in Å.
Space group P4/mmm (No. 123)
Unique sites:
Ac: 0.0000 0.0000 0.0000 (multiplicity 1)  8 Ag 3.36
Nd: 0.0000 0.0000 0.5000 (multiplicity 1)  8 Ag 3.24
Nd: 0.5000 0.5000 0.0000 (multiplicity 1)  8 Ag 3.36
Nd: 0.5000 0.5000 0.5000 (multiplicity 1)  8 Ag 3.24
Ag: 0.0000 0.5000 0.2640 (multiplicity 4)  6 Nd 3.24-3.36, 2 Ac 3.36, 1 Ag 3.57

Calculated values
VASP energy ... -31.79 eV for the cell shown
Spin magnetization ... 0.00 μB per cell
ΔE_f ... -24 kJ/mol of atoms
Crystal system ... tetragonal

Entry 11:
Ac2NdAg3: relaxed, PBE.

abc: 3.8905 3.8905 11.6922
angles: 90.00 90.00 90.00
Last column: nearest neighbours and their distance in Å.
Space group P4/mmm (No. 123)
Unique sites:
Ac: 0.0000 0.0000 0.1720 (multiplicity 2)  8 Ag 3.41-3.46
Nd: 0.0000 0.0000 0.5000 (multiplicity 1)  8 Ag 3.25
Ag: 0.5000 0.5000 0.0000 (multiplicity 1)  8 Ac 3.41
Ag: 0.5000 0.5000 0.3522 (multiplicity 2)  4 Nd 3.25, 1 Ag 3.46, 4 Ac 3.46

Calculated values
VASP energy ... -23.08 eV for the cell shown
Spin magnetization ... 0.00 μB per cell
ΔE_f ... -25 kJ/mol of atoms
Crystal system ... tetragonal

Entry 12:
Ac2Nd12Ag7: relaxed, PBE.

abc: 13.8468 13.8468 3.8731
angles: 90.00 90.00 120.00
Last column: nearest neighbours and their distance in Å.
Space group P-6 (No. 174)
Unique sites:
Ac: 0.0000 0.0000 0.0000 (multiplicity 1)  6 Ag 3.45
Ac: 0.3333 0.6667 0.5000 (multiplicity 1)  6 Ag 3.55, 2 Ac 3.87, 6 Nd 3.88
Nd: 0.0451 0.2766 0.5000 (multiplicity 3)  4 Ag 3.09-3.44
Nd: 0.1080 0.6981 0.0000 (multiplicity 3)  4 Ag 3.08-3.29
Nd: 0.3906 0.1934 0.0000 (multiplicity 3)  3 Ag 3.11-3.31
Nd: 0.5516 0.4435 0.5000 (multiplicity 3)  4 Ag 3.32-3.37, 4 Nd 3.60-3.62
Ag: 0.1026 0.4730 0.0000 (multiplicity 3)  6 Nd 3.08-3.37
Ag: 0.2160 0.1952 0.5000 (multiplicity 3)  6 Nd 3.09-3.44, 2 Ac 3.45
Ag: 0.6667 0.3333 0.0000 (multiplicity 1)  9 Nd 3.31-3.32

Calculated values
VASP energy ... -87.58 eV for the cell shown
Spin magnetization ... 0.00 μB per cell
ΔE_f ... -10 kJ/mol of atoms
Crystal system ... hexagonal

Entry 13:
AcNd4Ag: relaxed, PBE.

abc: 3.7805 3.7805 14.2881
angles: 90.00 90.00 90.00
Last column: nearest neighbours and their distance in Å.
Space group P4/mmm (No. 123)
Unique sites:
Ac: 0.0000 0.0000 0.0000 (multiplicity 1)  4 Ac 3.78, 8 Nd 3.82
Nd: 0.0000 0.0000 0.3699 (multiplicity 2)  4 Ag 3.26
Nd: 0.5000 0.5000 0.1909 (multiplicity 2)  8 Nd 3.70-3.78, 4 Ac 3.82
Ag: 0.5000 0.5000 0.5000 (multiplicity 1)  8 Nd 3.26

Calculated values
VASP energy ... -26.37 eV for the cell shown
Spin magnetization ... 0.00 μB per cell
ΔE_f ... -5 kJ/mol of atoms
Crystal system ... tetragonal

Entry 14:
AcNdAg: relaxed, PBE.

abc: 3.8807 3.8807 13.0508
angles: 90.00 90.00 90.00
Last column: nearest neighbours and their distance in Å.
Space group I4mm (No. 107)
Unique sites:
Ac: 0.0000 0.0000 0.0000 (multiplicity 2)  4 Ag 3.46, 5 Nd 3.80-3.87
Nd: 0.0000 0.0000 0.2910 (multiplicity 2)  4 Ag 3.23
Ag: 0.0000 0.0000 0.6611 (multiplicity 2)  4 Nd 3.23, 4 Ac 3.46

Calculated values
Energy above the most stable polymorph in this dataset ... 0.000 eV per atom
VASP energy ... -24.27 eV for the cell shown
Spin magnetization ... 0.74 μB per cell
ΔE_f ... -13 kJ/mol of atoms
Crystal system ... tetragonal

Entry 15:
Ac3Nd2Ag2: relaxed, PBE.

abc: 3.8877 32.6986 3.8707
angles: 90.00 90.00 90.00
Last column: nearest neighbours and their distance in Å.
Space group Cmmm (No. 65)
Unique sites:
Ac: 0.0000 0.0000 0.0000 (multiplicity 2)  8 Ag 3.41
Ac: 0.0000 0.1236 0.0000 (multiplicity 4)  4 Ag 3.41
Nd: 0.0000 0.2947 0.5000 (multiplicity 4)  6 Nd 3.51-3.89, 4 Ac 3.83
Ag: 0.0000 0.4383 0.5000 (multiplicity 4)  8 Ac 3.41

Calculated values
VASP energy ... -55.83 eV for the cell shown
Spin magnetization ... 0.00 μB per cell
ΔE_f ... -5 kJ/mol of atoms
Crystal system ... orthorhombic

Entry 16:
AcNdAg2: relaxed, PBE.

abc: 3.8666 3.8666 7.6744
angles: 90.00 90.00 90.00
Last column: nearest neighbours and their distance in Å.
Space group P4/mmm (No. 123)
Unique sites:
Ac: 0.0000 0.0000 0.0000 (multiplicity 1)  8 Ag 3.45, 2 Nd 3.84
Nd: 0.0000 0.0000 0.5000 (multiplicity 1)  8 Ag 3.24
Ag: 0.5000 0.5000 0.2743 (multiplicity 2)  4 Nd 3.24, 4 Ac 3.45, 1 Ag 3.46

Calculated values
Energy above the most stable polymorph in this dataset ... 0.000 eV per atom
VASP energy ... -15.60 eV for the cell shown
Spin magnetization ... 0.00 μB per cell
ΔE_f ... -25 kJ/mol of atoms
Crystal system ... tetragonal

Entry 17:
AcNdAg: relaxed, PBE.

abc: 5.3033 5.3033 3.9738
angles: 90.00 90.00 120.00
Last column: nearest neighbours and their distance in Å.
Space group P3m1 (No. 156)
Unique sites:
Ac: 0.0000 0.0000 0.0000 (multiplicity 1)  3 Ag 3.40, 6 Nd 3.54-3.77
Nd: 0.6667 0.3333 0.4460 (multiplicity 1)  3 Ag 3.14
Ag: 0.3333 0.6667 0.6252 (multiplicity 1)  3 Nd 3.14, 3 Ac 3.40

Calculated values
Energy above the most stable polymorph in this dataset ... 0.132 eV per atom
VASP energy ... -11.74 eV for the cell shown
Spin magnetization ... 0.00 μB per cell
ΔE_f ... 0 kJ/mol of atoms
Crystal system ... trigonal

Entry 18:
Ac3NdAg2: relaxed, PBE.

abc: 3.9592 3.9592 13.1569
angles: 90.00 90.00 90.00
Last column: nearest neighbours and their distance in Å.
Space group P4/mmm (No. 123)
Unique sites:
Ac: 0.0000 0.0000 0.0000 (multiplicity 1)  8 Ag 3.44
Ac: 0.0000 0.0000 0.2989 (multiplicity 2)  4 Ag 3.40
Nd: 0.5000 0.5000 0.5000 (multiplicity 1)  8 Ac 3.85, 4 Nd 3.96
Ag: 0.5000 0.5000 0.1525 (multiplicity 2)  8 Ac 3.40-3.44

Calculated values
VASP energy ... -23.72 eV for the cell shown
Spin magnetization ... 0.00 μB per cell
ΔE_f ... -15 kJ/mol of atoms
Crystal system ... tetragonal

Entry 19:
Ac6Nd2Ag: relaxed, PBE.

abc: 10.1984 10.1984 4.0073
angles: 90.00 90.00 120.00
Last column: nearest neighbours and their distance in Å.
Space group P-62m (No. 189)
Unique sites:
Ac: 0.0000 0.3907 0.0000 (multiplicity 3)  4 Nd 3.73, 1 Ag 3.98, 8 Ac 4.01-4.10
Ac: 0.0000 0.7418 0.5000 (multiplicity 3)  2 Ag 3.31
Nd: 0.3333 0.6667 0.5000 (multiplicity 2)  9 Ac 3.73-3.84, 2 Nd 4.01
Ag: 0.0000 0.0000 0.0000 (multiplicity 1)  6 Ac 3.31

Calculated values
VASP energy ... -37.34 eV for the cell shown
Spin magnetization ... 0.00 μB per cell
ΔE_f ... -3 kJ/mol of atoms
Crystal system ... hexagonal

Entry 20:
AcNd2Ag6: relaxed, PBE.

abc: 8.4031 8.4031 3.6792
angles: 90.00 90.00 120.00
Last column: nearest neighbours and their distance in Å.
Space group P6/mmm (No. 191)
Unique sites:
Ac: 0.0000 0.0000 0.0000 (multiplicity 1)  12 Ag 3.37, 2 Ac 3.68
Nd: 0.3333 0.6667 0.0000 (multiplicity 2)  12 Ag 3.34, 2 Nd 3.68
Ag: 0.0000 0.3362 0.5000 (multiplicity 6)  3 Ag 2.75-2.82

Calculated values
Energy above the most stable polymorph in this dataset ... 0.000 eV per atom
VASP energy ... -33.09 eV for the cell shown
Spin magnetization ... 0.00 μB per cell
ΔE_f ... -25 kJ/mol of atoms
Crystal system ... hexagonal